w.
GGA-PBE Pa2PbC, optimized geometry; total magnetic moment = 0.000 μB per cell
1.0
-0.638 -1.860 -2.768
2.398 -0.394 -2.371
3.480 -7.852 2.392
Pa C Pb
2 1 1
Direct
0.276 0.276 0.171 Pa
0.724 0.724 0.829 Pa
0.000 0.000 0.000 C
0.500 0.500 0.500 Pb

=====

x.
GGA-PBE Pa2PbC, optimized geometry; total magnetic moment = 0.001 μB per cell
1.0
-2.098 -1.173 2.406
-1.675 -2.921 -0.481
5.351 -5.751 4.266
Pa C Pb
2 1 1
Direct
0.277 0.277 0.170 Pa
0.057 0.057 0.829 Pa
0.666 0.666 0.002 C
0.500 0.500 0.499 Pb

=====

Which structure is the least stable? The one labeled x.

=====

w.
GGA-PBE PmPaC, optimized geometry; total magnetic moment = 1.007 μB per cell
1.0
-0.964 -2.558 2.268
-0.398 -0.484 -3.497
5.686 -2.420 -0.312
Pa Pm C
1 1 1
Direct
0.333 0.667 0.553 Pa
0.000 0.000 0.091 Pm
0.667 0.333 0.357 C

=====

x.
GGA-PBE PmPaC, optimized geometry; total magnetic moment = 0.000 μB per cell
1.0
-1.352 -1.065 -2.809
-1.832 -2.149 1.697
-3.245 6.195 1.144
Pa C Pm
1 1 1
Direct
0.705 0.705 0.410 Pa
0.164 0.164 0.328 C
0.981 0.981 0.962 Pm

=====

Which structure is the least stable? The one labeled x.